VASP calculation (GGA-PBE) on a geometry-optimized Na2AlAuO4 structure.

Space-group type: No. 70
Raw formation energy: -1342.5 meV per atom
DFT total energy: -0.1848 hartree per atom

Cell: 5.7881 7.0356 9.4631 Å, 82.77 72.19 65.71°
Sites, in units of the cell vectors:
Na 0.1911 0.0000 0.6178
Na 0.8089 0.0000 0.3822
Na 0.5589 0.5000 0.8822
Na 0.9411 0.5000 0.1178
Al 0.7500 0.5000 0.5000
Al 0.0000 0.0000 0.0000
Au 0.2500 0.5000 0.5000
Au 0.5000 0.0000 0.0000
O 0.3279 0.8043 0.9895
O 0.1217 0.1957 0.0105
O 0.8678 0.8043 0.0105
O 0.6825 0.1957 0.9895
O 0.4221 0.6957 0.5105
O 0.6283 0.3043 0.4895
O 0.8822 0.6957 0.4895
O 0.0675 0.3043 0.5105

VASP calculation (GGA-PBE) on a geometry-optimized NaAl2PbAu structure.

Space-group type: No. 123
DFT formation energy: 60.5 kJ per mole of atoms
DFT total energy: -0.0930 hartree per atom

Cell: 5.5090 5.4764 5.5090 Å, 90.00 90.00 90.00°
Sites, in units of the cell vectors:
Pb 0.0000 0.0000 0.0000
Na 0.5000 0.5000 0.5000
Au 0.0000 0.5000 0.0000
Al 0.0000 0.0000 0.5000
Al 0.5000 0.0000 0.0000

VASP calculation (GGA-PBE) on a geometry-optimized Na2Al3PdAu12 structure.

Space-group type: No. 166
DFT formation energy: -13.3 kJ per mole of atoms
DFT total energy: -0.1243 hartree per atom

Cell: 7.0255 7.0255 7.0255 Å, 84.15 84.15 84.15°
Sites, in units of the cell vectors:
Na 0.6064 0.6064 0.6064
Na 0.3936 0.3936 0.3936
Al 0.5000 0.0000 0.0000
Al 0.0000 0.5000 0.0000
Al 0.0000 0.0000 0.5000
Pd 0.0000 0.0000 0.0000
Au 0.3694 0.3694 0.9591
Au 0.8038 0.8038 0.3061
Au 0.3061 0.8038 0.8038
Au 0.9591 0.3694 0.3694
Au 0.8038 0.3061 0.8038
Au 0.3694 0.9591 0.3694
Au 0.6306 0.6306 0.0409
Au 0.1962 0.1962 0.6939
Au 0.6939 0.1962 0.1962
Au 0.0409 0.6306 0.6306
Au 0.1962 0.6939 0.1962
Au 0.6306 0.0409 0.6306

VASP calculation (GGA-PBE) on a geometry-optimized Rb2NaAlAu structure.

Space-group type: No. 123
DFT formation energy: 0.3 kJ per mole of atoms
DFT total energy: -0.0754 hartree per atom

Cell: 6.8450 6.8450 4.9272 Å, 90.00 90.00 90.00°
Sites, in units of the cell vectors:
Na 0.5000 0.5000 0.5000
Au 0.0000 0.0000 0.0000
Al 0.0000 0.0000 0.5000
Rb 0.0000 0.5000 0.0000
Rb 0.5000 0.0000 0.0000